[1]
Computed, not measured: a relaxed structure of DyLuTi4 at the PBE-GGA level of DFT.

Its density of states at the Fermi level is 8.40 states/eV/cell. The final energy is -6.552 eV/atom.

```
data_DyLuTi4
_chemical_formula_sum 'Dy1 Lu1 Ti4'
_cell_length_a 5.769
_cell_length_b 5.769
_cell_length_c 5.769
_cell_angle_alpha 60.00
_cell_angle_beta 60.00
_cell_angle_gamma 60.00
_space_group_name_H-M_alt 'P 1'
_space_group_IT_number 1
loop_
_space_group_symop_operation_xyz
'x,y,z'
loop_
_atom_site_label
_atom_site_fract_x
_atom_site_fract_y
_atom_site_fract_z
Dy1 0.000 0.000 0.000
Lu1 0.250 0.250 0.250
Ti1 0.126 0.625 0.625
Ti2 0.625 0.126 0.625
Ti3 0.625 0.625 0.126
Ti4 0.625 0.625 0.625
```



[2]
Computed, not measured: a relaxed structure of DyLu2Ti at the PBE-GGA level of DFT.

Its density of states at the Fermi level is 6.62 states/eV/cell. The final energy is -5.240 eV/atom.

```
data_DyLu2Ti
_chemical_formula_sum 'Dy1 Lu2 Ti1'
_cell_length_a 3.332
_cell_length_b 3.332
_cell_length_c 9.499
_cell_angle_alpha 90.00
_cell_angle_beta 90.00
_cell_angle_gamma 90.00
_space_group_name_H-M_alt 'P 1'
_space_group_IT_number 1
loop_
_space_group_symop_operation_xyz
'x,y,z'
loop_
_atom_site_label
_atom_site_fract_x
_atom_site_fract_y
_atom_site_fract_z
Dy1 0.000 0.000 0.000
Lu1 0.500 0.500 0.282
Lu2 0.500 0.500 0.718
Ti1 0.000 0.000 0.500
```



[3]
Computed, not measured: a relaxed structure of DyLuTi at the PBE-GGA level of DFT.

Its density of states at the Fermi level is 4.17 states/eV/cell. The final energy is -5.454 eV/atom.

```
data_DyLuTi
_chemical_formula_sum 'Dy1 Lu1 Ti1'
_cell_length_a 5.218
_cell_length_b 5.218
_cell_length_c 3.272
_cell_angle_alpha 90.00
_cell_angle_beta 90.00
_cell_angle_gamma 120.00
_space_group_name_H-M_alt 'P 1'
_space_group_IT_number 1
loop_
_space_group_symop_operation_xyz
'x,y,z'
loop_
_atom_site_label
_atom_site_fract_x
_atom_site_fract_y
_atom_site_fract_z
Dy1 0.000 0.000 0.000
Lu1 0.333 0.667 0.500
Ti1 0.667 0.333 0.500
```